Density functional theory data (PBE) for a geometry-optimized Nd3Zn2Cd9 structure.

Summary:
V = 23.84 A^3/atom
formation energy from the elements = -242 meV/atom
crystal system = orthorhombic

The structure in POSCAR format:
```
Nd3Zn2Cd9
1.0
-2.268 1.398 4.020
-5.173 -6.655 2.289
4.199 -3.872 6.609
Cd Nd Zn
9 3 2
Cartesian
-3.536 -8.528 9.651 Cd
-4.641 -6.164 8.205 Cd
1.399 -2.965 4.713 Cd
-0.504 -4.936 10.112 Cd
-2.199 -1.340 2.119 Cd
-2.739 -4.193 2.806 Cd
0.293 -0.601 3.267 Cd
-0.487 -5.264 4.449 Cd
-1.044 -7.788 10.799 Cd
-1.884 -2.143 5.468 Nd
0.000 0.000 0.000 Nd
-1.359 -6.986 7.449 Nd
-0.047 -4.097 7.185 Zn
-3.196 -5.032 5.733 Zn
```



Density functional theory data (PBE) for a geometry-optimized DyCdPdRu structure.

Summary:
V = 18.65 A^3/atom
formation energy from the elements = -325 meV/atom
crystal system = cubic

The structure in POSCAR format:
```
DyCdPdRu
1.0
4.725 0.000 0.000
2.363 4.092 0.000
2.363 1.364 3.858
Cd Dy Pd Ru
1 1 1 1
Cartesian
2.363 1.364 0.964 Cd
7.088 4.092 2.893 Dy
0.000 0.000 0.000 Pd
4.725 2.728 1.929 Ru
```



Density functional theory data (PBE) for a geometry-optimized Na2BeHg structure.

Summary:
V = 22.85 A^3/atom
formation energy from the elements = 380 meV/atom
distance to the lowest polymorph of the same formula = 0.0719 eV per atom
crystal system = cubic

The structure in POSCAR format:
```
Na2BeHg
1.0
3.352 -2.373 2.950
-1.482 -3.855 2.917
1.454 -4.714 -1.110
Hg Be Na
1 1 2
Cartesian
1.662 -5.471 2.379 Hg
0.000 0.000 0.000 Be
2.492 -8.207 3.568 Na
0.831 -2.736 1.189 Na
```



How do the records compare in density? In the order shown, they have 7.8 10.7 4.6 g/cm³.
How do the records compare in size of the total moment? In the order shown, they have 0.000 0.000 0.000 μB/atom.